# Pm9Dy3Y2

An optimized crystal structure of Pm9Dy3Y2 (GGA-PBE, Alexandria via LeMat-Bulk).

Cell: 9.0562 9.0562 13.9571 Å, 90.00 90.00 120.00°
Fractional coordinates of all 28 atoms:
Pm1 0.0821 0.4811 0.2500
Pm2 0.1322 0.7244 0.0424
Pm3 0.1322 0.7244 0.4576
Pm4 0.2756 0.4078 0.0424
Pm5 0.2756 0.4078 0.4576
Pm6 0.3990 0.9179 0.2500
Pm7 0.4078 0.1322 0.5424
Pm8 0.4078 0.1322 0.9576
Pm9 0.4811 0.3990 0.7500
Pm10 0.5189 0.6010 0.2500
Pm11 0.5922 0.8678 0.0424
Pm12 0.5922 0.8678 0.4576
Pm13 0.6010 0.0821 0.7500
Pm14 0.7244 0.5922 0.5424
Pm15 0.7244 0.5922 0.9576
Pm16 0.8678 0.2756 0.5424
Pm17 0.8678 0.2756 0.9576
Pm18 0.9179 0.5189 0.7500
Dy1 0.0789 0.2502 0.7500
Dy2 0.1713 0.9211 0.7500
Dy3 0.2502 0.1713 0.2500
Dy4 0.7498 0.8287 0.7500
Dy5 0.8287 0.0789 0.2500
Dy6 0.9211 0.7498 0.2500
Y1 0.3333 0.6667 0.6420
Y2 0.3333 0.6667 0.8580
Y3 0.6667 0.3333 0.1420
Y4 0.6667 0.3333 0.3580

Values from the calculation:
- space-group type = P6_3/m, No. 176
- N(E_F) (states/eV/f.u.) = 18.24
- formation energy (eV/f.u.) = 3.4
- crystal system = hexagonal

***

# Pm2Dy7Y2

An optimized crystal structure of Pm2Dy7Y2 (GGA-PBE, Alexandria via LeMat-Bulk).

Cell: 6.5134 6.5134 8.7292 Å, 98.23 98.23 93.35°
Fractional coordinates of all 11 atoms:
Pm1 0.1775 0.8225 0.0000
Pm2 0.8225 0.1775 0.0000
Dy1 0.0562 0.4184 0.7054
Dy2 0.1056 0.1056 0.3557
Dy3 0.4184 0.0562 0.7054
Dy4 0.5000 0.5000 0.5000
Dy5 0.5816 0.9438 0.2946
Dy6 0.8944 0.8944 0.6443
Dy7 0.9438 0.5816 0.2946
Y1 0.3509 0.3509 0.0951
Y2 0.6491 0.6491 0.9049

Values from the calculation:
- space-group type = C2/m, No. 12
- N(E_F) (states/eV/f.u.) = 17.96
- formation energy (eV/f.u.) = 1.3
- crystal system = monoclinic

***

# Pm6DyY12

An optimized crystal structure of Pm6DyY12 (GGA-PBE, Alexandria via LeMat-Bulk).

Cell: 8.7877 8.7877 8.7877 Å, 99.10 99.10 99.10°
Fractional coordinates of all 19 atoms:
Pm1 0.1583 0.5971 0.5971
Pm2 0.4029 0.4029 0.8417
Pm3 0.4029 0.8417 0.4029
Pm4 0.5971 0.1583 0.5971
Pm5 0.5971 0.5971 0.1583
Pm6 0.8417 0.4029 0.4029
Dy1 0.5000 0.5000 0.5000
Y1 0.0000 0.2584 0.7416
Y2 0.0000 0.7416 0.2584
Y3 0.1471 0.1471 0.4185
Y4 0.1471 0.4185 0.1471
Y5 0.2584 0.0000 0.7416
Y6 0.2584 0.7416 0.0000
Y7 0.4185 0.1471 0.1471
Y8 0.5815 0.8529 0.8529
Y9 0.7416 0.0000 0.2584
Y10 0.7416 0.2584 0.0000
Y11 0.8529 0.5815 0.8529
Y12 0.8529 0.8529 0.5815

Values from the calculation:
- space-group type = R-3m, No. 166
- N(E_F) (states/eV/f.u.) = 34.32
- formation energy (eV/f.u.) = 3.9
- crystal system = trigonal